DFT (PBE-GGA) results for an optimized crystal structure of CeHfU2As4.

Calculated values
Total magnetic moment in Bohr magnetons per cell: 5.4
Energy in eV per formula unit: -64.7
Crystal system: monoclinic
D(E_F) in states/eV/f.u.: 13.48

Geometry as CIF:
```
data_CeHfU2As4
_space_group_name_H-M_alt 'P 1 2/m 1'
_space_group_IT_number 10
_cell_length_a 6.971
_cell_length_b 4.011
_cell_length_c 7.097
_cell_angle_alpha 90.00
_cell_angle_beta 108.87
_cell_angle_gamma 90.00
loop_
_space_group_symop_operation_xyz
'x,y,z'
'-x,-y,-z'
'-x,y,-z'
'x,-y,z'
loop_
_atom_site_label
_atom_site_type_symbol
_atom_site_fract_x
_atom_site_fract_y
_atom_site_fract_z
Ce1 Ce 0.000 0.000 0.000
Hf1 Hf 0.500 0.500 0.000
U1 U 0.000 0.500 0.500
U2 U 0.500 0.000 0.500
As1 As 0.262 0.500 0.247
As2 As 0.265 0.000 0.760
```



DFT (PBE-GGA) results for an optimized crystal structure of GaC3Br.

Calculated values
Total magnetic moment in Bohr magnetons per cell: 0.0
Relative energy among the computed polymorphs in kJ per mole of atoms: 47.39
Energy in eV per formula unit: -15.2
Formation energy (no corrections) in eV/atom: 3.43
Crystal system: cubic
D(E_F) in states/eV/f.u.: 3.46

Geometry as CIF:
```
data_GaC3Br
_space_group_name_H-M_alt 'P m -3 m'
_space_group_IT_number 221
_space_group_name_Hall '-P 4 2 3'
_cell_length_a 4.078
_cell_length_b 4.078
_cell_length_c 4.078
_cell_angle_alpha 90.00
_cell_angle_beta 90.00
_cell_angle_gamma 90.00
loop_
_atom_site_label
_atom_site_type_symbol
_atom_site_fract_x
_atom_site_fract_y
_atom_site_fract_z
Ga1 Ga 0.000 0.000 0.000
C1 C 0.000 0.500 0.500
Br1 Br 0.500 0.500 0.500
```



DFT (PBE-GGA) results for an optimized crystal structure of KPdSe2.

Calculated values
Total magnetic moment in Bohr magnetons per cell: 0.0
Energy in eV per formula unit: -15.4
Formation energy (no corrections) in eV/atom: -0.54
Crystal system: trigonal
D(E_F) in states/eV/f.u.: 3.89

Geometry as CIF:
```
data_KPdSe2
_space_group_name_H-M_alt 'R 3 m'
_space_group_IT_number 160
_space_group_name_Hall 'R 3 -2"'
_cell_length_a 3.9775
_cell_length_b 3.9775
_cell_length_c 21.9769
_cell_angle_alpha 90.00
_cell_angle_beta 90.00
_cell_angle_gamma 120.00
loop_
_atom_site_label
_atom_site_type_symbol
_atom_site_fract_x
_atom_site_fract_y
_atom_site_fract_z
K1 K 0.0000 0.0000 0.0000
Pd1 Pd 0.0000 0.0000 0.8315
Se1 Se 0.0000 0.0000 0.2223
Se2 Se 0.0000 0.0000 0.4424
```



DFT (PBE-GGA) results for an optimized crystal structure of Tl4PtI8.

Calculated values
Total magnetic moment in Bohr magnetons per cell: 0.0
Energy in eV per formula unit: -32.1
Formation energy (no corrections) in eV/atom: -0.32
Crystal system: tetragonal
D(E_F) in states/eV/f.u.: 18.74

Geometry as CIF:
```
data_Tl4PtI8
_space_group_name_H-M_alt 'I 4/m m m'
_space_group_IT_number 139
_space_group_name_Hall '-I 4 2'
_cell_length_a 11.525
_cell_length_b 11.525
_cell_length_c 8.304
_cell_angle_alpha 90.00
_cell_angle_beta 90.00
_cell_angle_gamma 90.00
loop_
_atom_site_label
_atom_site_type_symbol
_atom_site_fract_x
_atom_site_fract_y
_atom_site_fract_z
Tl1 Tl 0.250 0.250 0.250
Pt1 Pt 0.000 0.000 0.000
I1 I 0.000 0.227 0.000
I2 I 0.000 0.272 0.500
```



> The highest D(E_F) belongs to which entry?

Tl4PtI8



> total magnetic moment of number 4 (Tl4PtI8)?

0.0 Bohr magnetons per cell



> What is the total magnetic moment in the fourth record?

0.0 Bohr magnetons per cell